Computed, not measured: an optimized crystal structure of TlPtRh2 at the PBE-GGA level of DFT.

Computed properties:
Total magnetic moment ... 0.00 Bohr magnetons per cell
E above lowest polymorph ... 0.778 eV/f.u.
Crystal system ... trigonal
Energy of formation ... 272 meV/atom
E ... -5.506 eV per atom

CIF file:
```
data_TlPtRh2
_symmetry_space_group_name_H-M 'R -3 m'
_symmetry_Int_Tables_number 166
_symmetry_space_group_name_Hall '-R 3 2"'
_cell_length_a 2.9651
_cell_length_b 2.9651
_cell_length_c 26.3719
_cell_angle_alpha 90.00
_cell_angle_beta 90.00
_cell_angle_gamma 120.00
loop_
_atom_site_label
_atom_site_fract_x
_atom_site_fract_y
_atom_site_fract_z
Tl1 0.0000 0.0000 0.0000
Pt1 0.0000 0.0000 0.5000
Rh1 0.0000 0.0000 0.2471
```